VASP calculation (PBE with a Hubbard U) on an optimized crystal structure of La2ZrVO.

Unit cell a=5.147 b=5.147 c=4.257 alpha=90.00 beta=90.00 gamma=90.00
Space group P4/mmm (No. 123)
One atom of each set of equivalent atoms:
La  0.000  0.500  0.000 (multiplicity 2)
Zr  0.000  0.000  0.500 (multiplicity 1)
V  0.500  0.500  0.500 (multiplicity 1)
O  0.500  0.500  0.000 (multiplicity 1)

Results
- Volume: 112.7 Å³/cell
- Raw total energy: -6.828 eV per atom